# AcTb6Nd2Dy3

A relaxed structure of AcTb6Nd2Dy3 (PBE, Alexandria).

Cell and atoms, written as CIF:
```
data_AcTb6Nd2Dy3
_cell_length_a 6.2645
_cell_length_b 6.2645
_cell_length_c 11.9422
_cell_angle_alpha 95.02
_cell_angle_beta 95.02
_cell_angle_gamma 120.00
_space_group_name_H-M_alt 'P 1'
_space_group_IT_number 1
loop_
_space_group_symop_operation_xyz
'x,y,z'
loop_
_atom_site_label
_atom_site_type_symbol
_atom_site_fract_x
_atom_site_fract_y
_atom_site_fract_z
Ac1 Ac 0.0000 0.0000 0.0000
Tb1 Tb 0.0863 0.4216 0.2562
Tb2 Tb 0.2491 0.2491 0.7435
Tb3 Tb 0.4216 0.0863 0.2562
Tb4 Tb 0.5784 0.9137 0.7438
Tb5 Tb 0.7509 0.7509 0.2565
Tb6 Tb 0.9137 0.5784 0.7438
Nd1 Nd 0.3334 0.6666 0.0000
Nd2 Nd 0.6666 0.3334 0.0000
Dy1 Dy 0.1670 0.8330 0.5000
Dy2 Dy 0.5000 0.5000 0.5000
Dy3 Dy 0.8330 0.1670 0.5000
```

Summary:
Total magnetic moment: 0.0 μB/f.u.
ρ: 8.13 Mg/m³
Energy of formation from the pure elements: 0.3 eV per formula unit